(1)
CoSi: optimized geometry, PBE-GGA.

Summary:
ΔE_f (raw)	-9.1	kcal/mol of atoms
space group	I4_1/amd (141)
DOS(E_F)	1.33	states/eV/f.u.
calculated volume	10.84	Å³ per atom
total magnetic moment	0.00	μB per formula unit
total DFT energy (no corrections)	-6.659	eV per atom

Cell lengths 4.5262, 4.5262, 4.5262 Å; angles 136.53, 136.47, 63.20 degrees
Closest atoms and distances in Å follow each position.
Positions (direct):
Co1 0.3749 0.6249 0.2500  8 Si 2.37-2.56, 4 Co 2.55-2.56
Co2 0.6251 0.3751 0.7500  8 Si 2.37-2.56, 4 Co 2.55-2.56
Si1 0.8749 0.1249 0.2500  8 Co 2.37-2.56, 4 Si 2.55
Si2 0.1251 0.8751 0.7500  8 Co 2.37-2.56, 4 Si 2.55

=====

(2)
CoSi5: optimized geometry, PBE-GGA.

Summary:
ΔE_f (raw)	4.5	kcal/mol of atoms
space group	Cm (8)
DOS(E_F)	2.39	states/eV/f.u.
calculated volume	13.51	Å³ per atom
total magnetic moment	0.00	μB per formula unit
total DFT energy (no corrections)	-5.510	eV per atom

Cell lengths 4.7183, 4.7183, 7.3908 Å; angles 66.02, 66.02, 32.94 degrees
Closest atoms and distances in Å follow each position.
Positions (direct):
Co1 0.9695 0.9695 0.9852  9 Si 2.41-2.66, 2 Co 2.68
Si1 0.7064 0.7064 0.6956  6 Si 2.40-2.68, 2 Co 2.66
Si2 0.3455 0.3455 0.2830  2 Co 2.41, 5 Si 2.50-2.68
Si3 0.4276 0.4276 0.7405  7 Si 2.40-2.68, 2 Co 2.41
Si4 0.0417 0.0417 0.4073  9 Si 2.50-2.71
Si5 0.6760 0.6760 0.0550  3 Co 2.48-2.52, 6 Si 2.55-2.74

=====

(3)
CoSi5: optimized geometry, PBE-GGA.

Summary:
ΔE_f (raw)	7.4	kcal/mol of atoms
space group	P-62m (189)
DOS(E_F)	3.99	states/eV/f.u.
calculated volume	13.08	Å³ per atom
total magnetic moment	0.79	μB per formula unit
total DFT energy (no corrections)	-5.382	eV per atom

Cell lengths 4.5240, 4.5240, 4.4261 Å; angles 90.00, 90.00, 120.00 degrees
Closest atoms and distances in Å follow each position.
Positions (direct):
Co1 0.0000 0.0000 0.5000  12 Si 2.61-2.65
Si1 0.6767 0.0000 0.0000  10 Si 2.53-2.69, 2 Co 2.65
Si2 0.3233 0.3233 0.0000  10 Si 2.53-2.69, 2 Co 2.65
Si3 0.0000 0.6767 0.0000  10 Si 2.53-2.69, 2 Co 2.65
Si4 0.6667 0.3333 0.5000  3 Co 2.61, 9 Si 2.61-2.69
Si5 0.3333 0.6667 0.5000  3 Co 2.61, 9 Si 2.61-2.69

=====

(4)
CoSi: optimized geometry, PBE-GGA.

Summary:
ΔE_f (raw)	-1.4	kcal/mol of atoms
space group	P4/nmm (129)
DOS(E_F)	1.16	states/eV/f.u.
calculated volume	11.58	Å³ per atom
total magnetic moment	0.00	μB per formula unit
total DFT energy (no corrections)	-6.325	eV per atom

Cell lengths 2.5813, 2.5813, 6.9510 Å; angles 90.00, 90.00, 90.00 degrees
Closest atoms and distances in Å follow each position.
Positions (direct):
Co1 0.2500 0.2500 0.1265  4 Si 2.35, 8 Co 2.53-2.58
Co2 0.7500 0.7500 0.8735  4 Si 2.35, 8 Co 2.53-2.58
Si1 0.2500 0.2500 0.6597  4 Co 2.35, 4 Si 2.58
Si2 0.7500 0.7500 0.3403  4 Co 2.35, 4 Si 2.58